First-principles (PBE) data for a relaxed structure of ScNbAl3, as listed in the Alexandria database.

Cell lengths 5.422, 4.560, 7.598 Å; angles 90.00, 107.91, 90.00 degrees
Atoms (fractional coordinates):
Sc 0.219 0.250 0.200
Sc 0.781 0.750 0.800
Nb 0.143 0.750 0.565
Nb 0.857 0.250 0.435
Al 0.114 0.250 0.803
Al 0.343 0.750 0.971
Al 0.456 0.250 0.600
Al 0.544 0.750 0.400
Al 0.657 0.250 0.029
Al 0.886 0.750 0.197

Values from the calculation:
- Uncorrected energy: -5.87 eV per atom
- Formation energy from the elements: -0.35 eV per atom

---

First-principles (PBE) data for a relaxed structure of ScNbAl4, as listed in the Alexandria database.

Cell lengths 5.233, 5.233, 5.233 Å; angles 60.00, 60.00, 60.00 degrees
Atoms (fractional coordinates):
Sc 0.000 0.000 0.000
Nb 0.250 0.250 0.250
Al 0.126 0.625 0.625
Al 0.625 0.126 0.625
Al 0.625 0.625 0.126
Al 0.625 0.625 0.625

Values from the calculation:
- Uncorrected energy: -5.64 eV per atom
- Formation energy from the elements: -0.42 eV per atom

---

First-principles (PBE) data for a relaxed structure of Sc2NbAl2, as listed in the Alexandria database.

Cell lengths 7.089, 7.089, 7.089 Å; angles 148.48, 148.48, 45.18 degrees
Atoms (fractional coordinates):
Sc 0.250 0.750 0.500
Sc 0.750 0.250 0.500
Nb 0.000 0.000 0.000
Al 0.408 0.408 0.000
Al 0.592 0.592 0.000

Values from the calculation:
- Uncorrected energy: -5.98 eV per atom
- Formation energy from the elements: 0.07 eV per atom

---

First-principles (PBE) data for a relaxed structure of Sc3NbAl8, as listed in the Alexandria database.

Cell lengths 9.176, 9.176, 9.176 Å; angles 33.53, 33.53, 33.53 degrees
Atoms (fractional coordinates):
Sc 0.000 0.000 0.000
Sc 0.126 0.126 0.126
Sc 0.623 0.623 0.623
Nb 0.500 0.500 0.500
Al 0.061 0.061 0.560
Al 0.061 0.560 0.061
Al 0.065 0.563 0.563
Al 0.312 0.312 0.312
Al 0.560 0.061 0.061
Al 0.563 0.065 0.563
Al 0.563 0.563 0.065
Al 0.812 0.812 0.812

Values from the calculation:
- Uncorrected energy: -5.36 eV per atom
- Formation energy from the elements: -0.44 eV per atom

---

First-principles (PBE) data for a relaxed structure of ScNbAl3, as listed in the Alexandria database.

Cell lengths 7.086, 7.086, 7.086 Å; angles 148.53, 148.53, 45.11 degrees
Atoms (fractional coordinates):
Sc 0.000 0.000 0.000
Nb 0.618 0.618 0.000
Al 0.264 0.764 0.500
Al 0.415 0.415 0.000
Al 0.764 0.264 0.500

Values from the calculation:
- Uncorrected energy: -5.55 eV per atom
- Formation energy from the elements: -0.03 eV per atom

---

First-principles (PBE) data for a relaxed structure of Sc6NbAl3, as listed in the Alexandria database.

Cell lengths 8.441, 4.855, 10.834 Å; angles 90.00, 111.19, 90.00 degrees
Atoms (fractional coordinates):
Sc 0.039 0.250 0.421
Sc 0.161 0.750 0.171
Sc 0.245 0.250 0.019
Sc 0.345 0.750 0.788
Sc 0.359 0.250 0.342
Sc 0.403 0.250 0.631
Sc 0.597 0.750 0.369
Sc 0.641 0.750 0.658
Sc 0.655 0.250 0.212
Sc 0.755 0.750 0.981
Sc 0.839 0.250 0.829
Sc 0.961 0.750 0.579
Nb 0.471 0.750 0.072
Nb 0.529 0.250 0.928
Al 0.049 0.750 0.875
Al 0.126 0.250 0.728
Al 0.269 0.750 0.471
Al 0.731 0.250 0.529
Al 0.874 0.750 0.272
Al 0.951 0.250 0.125

Values from the calculation:
- Uncorrected energy: -6.18 eV per atom
- Formation energy from the elements: -0.25 eV per atom